Below is a geometry-optimized AlPbS2 structure, with properties calculated at the PBE level.

Structure (extended XYZ):
```
8
Lattice="-12.7575 1.6083 5.3007 11.1610 -1.0952 -8.2262 -0.6243 -3.8499 -0.3345" Properties=species:S:1:pos:R:3 pbc="T T T"
Pb -11.7575 -1.4451 4.2194
Pb 9.5366 -1.8917 -7.4795
S -8.0241 -1.8671 2.1081
S -9.7642 0.2899 3.4359
S 7.5433 -3.6266 -6.6960
S 5.8033 -1.4697 -5.3681
Al -5.9579 -2.1006 0.9395
Al 3.7371 -1.2362 -4.1996
```

Output
- Space group: Cmcm, No. 63
- Total energy: -4.391 eV/atom
- E_form (uncorrected): -1.9 eV/f.u.

Below is a geometry-optimized Pr15Ho4In structure, with properties calculated at the PBE level.

Structure (extended XYZ):
```
20
Lattice="-0.5821 -2.2270 -4.5987 1.3176 -4.5373 2.0305 -24.8760 -4.7790 5.4633" Properties=species:S:1:pos:R:3 pbc="T T T"
Pr -9.5622 -5.2898 0.8967
Pr -22.7609 -5.4302 2.6355
Pr -14.5783 -6.2535 1.9983
Pr -19.5893 -7.2162 3.0988
Pr -2.6972 -1.5757 -1.7709
Pr -7.7222 -2.5411 -0.6673
Pr -12.7291 -3.5030 0.4323
Pr -1.7473 -2.7309 1.5437
Pr -17.7359 -4.4649 1.5319
Pr 0.3677 -3.3822 -1.2841
Pr -21.8110 -6.5854 5.9501
Pr -6.7723 -3.6963 2.6473
Pr -11.7792 -4.6582 3.7469
Pr -16.7860 -5.6200 4.8465
Pr -4.5512 -4.3271 -0.2038
Ho -14.9348 -2.8692 3.2800
Ho -19.9446 -3.8316 4.3802
Ho -4.9314 -0.9474 1.0830
Ho -9.9412 -1.9098 2.1833
In 0.0000 0.0000 0.0000
```

Output
- Space group: P4/mmm, No. 123
- Total energy: -4.676 eV/atom
- Energy relative to the elements: -4 kJ/mol of atoms

Below is a geometry-optimized Th3Sn2Au4 structure, with properties calculated at the PBE level.

Structure (extended XYZ):
```
9
Lattice="-2.6510 0.1248 4.0330 -3.3228 -0.4935 -5.0585 3.9191 -7.8254 2.8183" Properties=species:S:1:pos:R:3 pbc="T T T"
Sn -0.7375 -5.9221 -0.3014
Sn -1.3172 -2.2720 2.0942
Au 0.8653 -3.3870 0.6736
Au -3.0581 -0.3653 0.8909
Au -2.9200 -4.8070 1.1191
Au 1.0034 -7.8288 0.9019
Th -1.8981 -2.8150 -1.1605
Th -0.1566 -5.3790 2.9533
Th 0.0000 0.0000 0.0000
```

Output
- Space group: C2/m, No. 12
- Total energy: -5.487 eV/atom
- Energy relative to the elements: -64 kJ/mol of atoms

Below is a geometry-optimized In2HgSb structure, with properties calculated at the PBE level.

Structure (extended XYZ):
```
4
Lattice="-1.1478 6.5091 -0.9911 -1.6719 2.2790 -6.0563 -1.2446 -3.7472 5.3923" Properties=species:S:1:pos:R:3 pbc="T T T"
Hg -2.1625 1.4608 -2.0922
Sb -1.4347 4.4715 -3.5858
In -1.8853 3.5287 0.4783
In -2.8112 8.7619 -7.0263
```

Output
- Space group: Imm2, No. 44
- Total energy: -2.413 eV/atom
- Energy relative to the lowest polymorph listed for this composition: 0.060 eV/atom
- E_form (uncorrected): 0.3 eV/f.u.

Repeat the second record exactly.
Below is a geometry-optimized Pr15Ho4In structure, with properties calculated at the PBE level.

Structure (extended XYZ):
```
20
Lattice="-0.5821 -2.2270 -4.5987 1.3176 -4.5373 2.0305 -24.8760 -4.7790 5.4633" Properties=species:S:1:pos:R:3 pbc="T T T"
Pr -9.5622 -5.2898 0.8967
Pr -22.7609 -5.4302 2.6355
Pr -14.5783 -6.2535 1.9983
Pr -19.5893 -7.2162 3.0988
Pr -2.6972 -1.5757 -1.7709
Pr -7.7222 -2.5411 -0.6673
Pr -12.7291 -3.5030 0.4323
Pr -1.7473 -2.7309 1.5437
Pr -17.7359 -4.4649 1.5319
Pr 0.3677 -3.3822 -1.2841
Pr -21.8110 -6.5854 5.9501
Pr -6.7723 -3.6963 2.6473
Pr -11.7792 -4.6582 3.7469
Pr -16.7860 -5.6200 4.8465
Pr -4.5512 -4.3271 -0.2038
Ho -14.9348 -2.8692 3.2800
Ho -19.9446 -3.8316 4.3802
Ho -4.9314 -0.9474 1.0830
Ho -9.9412 -1.9098 2.1833
In 0.0000 0.0000 0.0000
```

Output
- Space group: P4/mmm, No. 123
- Total energy: -4.676 eV/atom
- Energy relative to the elements: -4 kJ/mol of atoms

Repeat the fourth record exactly.
Below is a geometry-optimized In2HgSb structure, with properties calculated at the PBE level.

Structure (extended XYZ):
```
4
Lattice="-1.1478 6.5091 -0.9911 -1.6719 2.2790 -6.0563 -1.2446 -3.7472 5.3923" Properties=species:S:1:pos:R:3 pbc="T T T"
Hg -2.1625 1.4608 -2.0922
Sb -1.4347 4.4715 -3.5858
In -1.8853 3.5287 0.4783
In -2.8112 8.7619 -7.0263
```

Output
- Space group: Imm2, No. 44
- Total energy: -2.413 eV/atom
- Energy relative to the lowest polymorph listed for this composition: 0.060 eV/atom
- E_form (uncorrected): 0.3 eV/f.u.

total energy of number 4 (In2HgSb)? -2.413 eV/atom